No. 1
# Bi4Pb11

Bi4Pb11 after structural relaxation (PBE, the Alexandria database).

The structure in extended XYZ format:
```
30
Lattice="6.608 0.000 0.000 0.000 12.173 0.000 0.000 0.000 12.173" Properties=species:S:1:pos:R:3 pbc="T T T"
Bi 0.000 1.833 6.687
Bi 0.000 10.340 5.486
Bi 3.304 11.573 7.920
Bi 3.304 0.600 4.254
Bi 3.304 4.254 0.600
Bi 3.304 7.920 11.573
Bi 0.000 6.687 1.833
Bi 0.000 5.486 10.340
Pb 0.000 0.000 0.000
Pb 3.304 6.087 6.087
Pb 0.000 4.968 7.205
Pb 0.000 7.205 4.968
Pb 3.304 11.055 11.055
Pb 3.304 1.118 1.118
Pb 0.000 0.759 3.388
Pb 0.000 11.415 8.786
Pb 3.304 2.699 6.845
Pb 3.304 9.474 5.328
Pb 3.304 5.328 9.474
Pb 3.304 6.845 2.699
Pb 0.000 3.388 0.759
Pb 0.000 8.786 11.415
Pb 1.664 3.828 3.828
Pb 1.664 8.345 8.345
Pb 4.968 2.258 9.915
Pb 4.968 9.915 2.258
Pb 1.640 2.258 9.915
Pb 1.640 9.915 2.258
Pb 4.944 3.828 3.828
Pb 4.944 8.345 8.345
```

Results
Calculated formation energy (meV/atom): 51
Crystal system: tetragonal
Volume (Å³ per atom): 32.64
Space-group type: P4_2/mnm, No. 136

---

No. 2
# BiPb

BiPb after structural relaxation (PBE, the Alexandria database).

The structure in extended XYZ format:
```
32
Lattice="-5.741 -6.563 -9.855 10.819 -2.712 -4.497 0.120 -5.670 3.707" Properties=species:S:1:pos:R:3 pbc="T T T"
Bi 0.030 -1.418 0.927
Bi 0.090 -4.252 2.780
Bi 6.798 -9.344 -2.130
Bi 6.738 -6.510 -3.983
Bi 5.499 -5.608 0.532
Bi 5.439 -2.773 -1.322
Bi 1.329 -5.154 -1.735
Bi 1.269 -2.319 -3.588
Bi -2.781 -7.534 -2.147
Bi -2.841 -4.699 -4.001
Bi 3.868 -9.791 -8.911
Bi 3.808 -6.956 -10.764
Bi 2.569 -6.055 -6.249
Bi 2.628 -8.890 -4.396
Bi -1.482 -11.270 -4.809
Bi -1.542 -8.436 -6.662
Pb 2.704 -0.678 -1.124
Pb 8.115 -2.034 -3.373
Pb 4.005 -4.414 -3.786
Pb 9.412 -5.770 -6.034
Pb 8.173 -4.868 -1.519
Pb 2.765 -3.513 0.729
Pb -1.345 -5.893 0.316
Pb 4.063 -7.249 -1.932
Pb -0.107 -6.794 -4.198
Pb 5.304 -8.151 -6.447
Pb 1.194 -10.531 -6.860
Pb 6.601 -11.886 -9.108
Pb 5.242 -5.315 -8.300
Pb -0.165 -3.960 -6.052
Pb -4.275 -6.340 -6.465
Pb 1.132 -7.696 -8.713
```

Results
Calculated formation energy (meV/atom): 32
Crystal system: orthorhombic
Volume (Å³ per atom): 33.50
Space-group type: Immm, No. 71

---

No. 3
# BiPb3

BiPb3 after structural relaxation (PBE, the Alexandria database).

The structure in extended XYZ format:
```
4
Lattice="-1.482 -0.173 3.145 0.376 -6.141 -0.161 5.895 3.417 1.039" Properties=species:S:1:pos:R:3 pbc="T T T"
Pb 2.756 -1.866 1.195
Pb -0.551 -3.190 1.491
Pb 1.902 1.121 2.884
Bi 0.004 -0.071 -0.002
```

Results
Calculated formation energy (meV/atom): 9
Crystal system: orthorhombic
Volume (Å³ per atom): 31.69
Space-group type: Imm2, No. 44

---

No. 4
# BiPb

BiPb after structural relaxation (PBE, the Alexandria database).

The structure in extended XYZ format:
```
4
Lattice="-3.815 -0.749 2.718 3.847 -2.729 0.508 3.329 5.864 6.291" Properties=species:S:1:pos:R:3 pbc="T T T"
Bi 3.675 2.127 5.746
Bi -0.544 -0.145 3.337
Pb 2.513 0.080 3.550
Pb 1.624 3.672 7.432
```

Results
Calculated formation energy (meV/atom): 182
Crystal system: hexagonal
Volume (Å³ per atom): 44.93
Space-group type: P6_3mc, No. 186